Entry from Alexandria via LeMat-Bulk: an optimized crystal structure of Cu2S2Br (PBE).

Cell lengths 4.590, 4.590, 8.188 Å; angles 90.00, 90.00, 90.00 degrees
Space group I4/mmm (No. 139)
Unique sites:
Cu  0.000  0.500  0.250
S  0.000  0.000  0.130
Br  0.000  0.000  0.500

Computed properties:
Polymorph energy (0 for the lowest one)   0.000 eV/atom
Formation energy (no corrections)   0.10 eV/atom

---

Entry from Alexandria via LeMat-Bulk: an optimized crystal structure of Cu4S3Br (PBE).

Cell lengths 7.446, 6.506, 6.321 Å; angles 90.00, 90.00, 90.00 degrees
Space group Pmn2_1 (No. 31)
Unique sites:
Cu  0.000  0.156  0.000
Cu  0.000  0.795  0.563
Cu  0.224  0.649  0.070
S  0.000  0.822  0.917
S  0.248  0.337  0.922
Br  0.000  0.159  0.415

Computed properties:
Formation energy (no corrections)   -0.22 eV/atom

---

Entry from Alexandria via LeMat-Bulk: an optimized crystal structure of Cu12S3Br5 (PBE).

Cell lengths 14.416, 14.416, 14.416 Å; angles 90.00, 90.00, 90.00 degrees
Space group Ia-3d (No. 230)
Unique sites:
Cu  0.011  0.094  0.651
S  0.000  0.250  0.125
Br  0.000  0.000  0.000
Br  0.000  0.250  0.375

Computed properties:
Formation energy (no corrections)   0.01 eV/atom

---

Number 1: V 17.253 Å³/atom, total magnetic moment 0.0 μB per cell, D(E_F) 0.87 states/eV/atom. Number 2: V 19.139 Å³/atom, total magnetic moment 0.0 μB per cell, D(E_F) 0.83 states/eV/atom. Number 3: V 18.724 Å³/atom, total magnetic moment 0.0 μB per cell, D(E_F) 0.08 states/eV/atom.